Record 1
A plane-wave DFT calculation with PBE was carried out for CaSm3Sb2 after structural relaxation.

Cell lengths 18.429, 4.507, 9.984 Å; angles 90.00, 115.53, 90.00 degrees
Space group C2/m (No. 12)
Unique sites:
Ca 0.109 0.000 0.114 [4 per cell]
Sm 0.056 0.000 0.677 [4 per cell]
Sm 0.150 0.500 0.475 [4 per cell]
Sm 0.190 0.500 0.888 [4 per cell]
Sb 0.006 0.500 0.837 [4 per cell]
Sb 0.245 0.000 0.718 [4 per cell]

Summary:
formation energy from raw total energies: -0.6888 eV/atom
ρ: 6.52 g/cm3
energy: -4.756 eV/atom


Record 2
A plane-wave DFT calculation with PBE was carried out for Zr2InSb after structural relaxation.

Cell lengths 3.260, 5.109, 5.773 Å; angles 90.00, 106.15, 90.00 degrees
Space group Pm (No. 6)
Unique sites:
Zr 0.000 0.000 0.000 [1 per cell]
Zr 0.269 0.500 0.552 [1 per cell]
In 0.536 0.500 0.071 [1 per cell]
Sb 0.727 0.000 0.467 [1 per cell]

Summary:
formation energy from raw total energies: -0.3309 eV/atom
ρ: 7.53 g/cm3
energy: -6.320 eV/atom